## LiTl2Pb (PBEsol)

Data for crystalline LiTl2Pb at its relaxed geometry.

Summary:
The value obtained for the energy above the most stable polymorph in this dataset is 36.8 meV per atom.

The structure in POSCAR format:
```
LiTl2Pb
1.0
3.2247 -4.8029 0.0000
3.2247 4.8029 0.0000
0.0000 0.0000 3.3830
Li Tl Pb
1 2 1
direct
0.0000 0.0000 0.0000
0.0000 0.5000 0.5000
0.5000 0.0000 0.5000
0.5000 0.5000 0.0000
```

***

## LiTlPb2 (PBEsol)

Data for crystalline LiTlPb2 at its relaxed geometry.

The structure in POSCAR format:
```
LiTlPb2
1.0
-2.3769 2.3769 4.6740
2.3769 -2.3769 4.6740
2.3769 2.3769 -4.6740
Li Tl Pb
1 1 2
direct
0.0000 0.0000 0.0000
0.2500 0.7500 0.5000
0.5000 0.5000 0.0000
0.7500 0.2500 0.5000
```

***

## LiTl2Pb (PBEsol)

Data for crystalline LiTl2Pb at its relaxed geometry.

Summary:
The value obtained for the energy above the most stable polymorph in this dataset is 5.0 meV per atom.

The structure in POSCAR format:
```
LiTl2Pb
1.0
-2.3166 2.3166 4.7924
2.3166 -2.3166 4.7924
2.3166 2.3166 -4.7924
Li Tl Pb
1 2 1
direct
0.0000 0.0000 0.0000
0.2500 0.7500 0.5000
0.7500 0.2500 0.5000
0.5000 0.5000 0.0000
```

***

## LiTlPb2 (PBEsol)

Data for crystalline LiTlPb2 at its relaxed geometry.

The structure in POSCAR format:
```
LiTlPb2
1.0
3.5601 0.0000 0.0000
0.0000 4.3744 0.0000
0.0000 0.0000 6.7743
Li Tl Pb
1 1 2
direct
0.0000 0.0000 0.0000
0.5000 0.5000 0.7673
0.0000 0.0000 0.5037
0.5000 0.5000 0.2401
```

***

## LiTlPb2 (PBEsol)

Data for crystalline LiTlPb2 at its relaxed geometry.

The structure in POSCAR format:
```
LiTlPb2
1.0
4.7287 0.0000 0.0000
0.0000 4.7287 0.0000
0.0000 0.0000 4.7045
Li Tl Pb
1 1 2
direct
0.0000 0.0000 0.0000
0.5000 0.5000 0.0000
0.0000 0.5000 0.5000
0.5000 0.0000 0.5000
```

***

## Li3TlPb (PBEsol)

Data for crystalline Li3TlPb at its relaxed geometry.

The structure in POSCAR format:
```
Li3TlPb
1.0
5.1684 0.0000 0.0000
0.0000 5.1684 0.0000
0.0000 0.0000 5.1684
Li Tl Pb
3 1 1
direct
0.0000 0.0000 0.5000
0.0000 0.5000 0.0000
0.5000 0.0000 0.0000
0.5000 0.5000 0.5000
0.0000 0.0000 0.0000
```

***

## Li2TlPb (PBEsol)

Data for crystalline Li2TlPb at its relaxed geometry.

Summary:
The value obtained for the energy above the most stable polymorph in this dataset is 45.6 meV per atom.

The structure in POSCAR format:
```
Li2TlPb
1.0
5.2603 -1.7278 0.0000
5.2603 1.7278 0.0000
-1.1296 0.0000 4.7590
Li Tl Pb
2 1 1
direct
0.0000 0.0000 0.0000
0.7480 0.7480 0.3194
0.2584 0.2584 0.8370
0.4921 0.4921 0.4924
```

***

## Li2TlPb (PBEsol)

Data for crystalline Li2TlPb at its relaxed geometry.

Summary:
The value obtained for the energy above the most stable polymorph in this dataset is 53.1 meV per atom.

The structure in POSCAR format:
```
Li2TlPb
1.0
-2.1774 2.1774 4.6310
2.1774 -2.1774 4.6310
2.1774 2.1774 -4.6310
Li Tl Pb
2 1 1
direct
0.0000 0.0000 0.0000
0.7500 0.2500 0.5000
0.2500 0.7500 0.5000
0.5000 0.5000 0.0000
```

***

## LiTlPb2 (PBEsol)

Data for crystalline LiTlPb2 at its relaxed geometry.

The structure in POSCAR format:
```
LiTlPb2
1.0
0.0000 3.7901 3.7901
3.7901 0.0000 3.7901
3.7901 3.7901 0.0000
Li Tl Pb
1 1 2
direct
0.0000 0.0000 0.0000
0.2500 0.2500 0.2500
0.5000 0.5000 0.5000
0.7500 0.7500 0.7500
```

***

## LiTl2Pb (PBEsol)

Data for crystalline LiTl2Pb at its relaxed geometry.

Summary:
The value obtained for the energy above the most stable polymorph in this dataset is 16.4 meV per atom.

The structure in POSCAR format:
```
LiTl2Pb
1.0
3.4562 0.0000 0.0000
0.0000 4.4726 0.0000
-0.0114 0.0000 6.6616
Li Tl Pb
1 2 1
direct
0.0000 0.0000 0.0000
0.4992 0.5000 0.2358
0.5008 0.5000 0.7642
0.0000 0.0000 0.5000
```

***

## Li2TlPb (PBEsol)

Data for crystalline Li2TlPb at its relaxed geometry.

Summary:
The value obtained for the energy above the most stable polymorph in this dataset is 47.2 meV per atom.

The structure in POSCAR format:
```
Li2TlPb
1.0
-1.8618 2.3236 5.0247
1.8618 -2.3236 5.0247
1.8618 2.3236 -5.0247
Li Tl Pb
2 1 1
direct
0.0000 0.0000 0.0000
0.7555 0.2555 0.5000
0.5141 0.5141 0.0000
0.2528 0.7528 0.5000
```

***

## LiTlPb (PBEsol)

Data for crystalline LiTlPb at its relaxed geometry.

The structure in POSCAR format:
```
LiTlPb
1.0
-1.8329 1.8329 5.4279
1.8329 -1.8329 5.4279
1.8329 1.8329 -5.4279
Li Tl Pb
1 1 1
direct
0.0000 0.0000 0.0000
0.3496 0.3496 0.0000
0.6638 0.6638 0.0000
```

***

no.,size of the total moment (Bohr magnetons per cell),electronic total energy (eV for the cell shown),formation energy (eV/atom)
1,0.00,-11.544,-0.0796
2,0.00,-13.067,-0.1182
3,0.00,-11.671,-0.1113
4,0.00,-13.032,-0.1094
5,0.00,-13.068,-0.1184
6,0.00,-12.328,0.0401
7,0.00,-11.491,-0.2322
8,0.00,-11.461,-0.2248
9,0.00,-13.037,-0.1108
10,0.00,-11.626,-0.1000
11,0.00,-11.485,-0.2306
12,0.00,-9.086,-0.1633